The following is a PBE calculation of InPdS2O after structural relaxation, from Alexandria.

Space-group type   P4/mmm, No. 123

Cell: 4.2647 4.2647 4.6057 Å, 90.00 90.00 90.00°
With the nearest neighbours (Å) after each atom.
Fractional positions:
In1 0.0000 0.0000 0.0000  2 O 2.30
Pd1 0.5000 0.5000 0.0000  4 In 3.02, 8 S 3.14
S1 0.0000 0.5000 0.5000  2 O 2.13
S2 0.5000 0.0000 0.5000  2 O 2.13
O1 0.0000 0.0000 0.5000  4 S 2.13, 2 In 2.30

---

The following is a PBE calculation of Sc4InPdO after structural relaxation, from Alexandria.

Space-group type   Cmcm, No. 63

Cell: 7.8539 7.8539 6.1534 Å, 90.00 90.00 133.92°
With the nearest neighbours (Å) after each atom.
Fractional positions:
Sc1 0.0000 0.5000 0.0000  2 O 2.18
Sc2 0.0000 0.5000 0.5000  2 O 2.18
Sc3 0.0622 0.9378 0.7500  1 Pd 2.62, 1 O 2.79
Sc4 0.4120 0.5880 0.7500  1 O 2.26
Sc5 0.5000 0.0000 0.0000  2 O 2.18
Sc6 0.5000 0.0000 0.5000  2 O 2.18
Sc7 0.5880 0.4120 0.2500  1 O 2.26
Sc8 0.9378 0.0622 0.2500  1 Pd 2.62, 1 O 2.79
In1 0.3895 0.6105 0.2500  9 Sc 2.87-3.15
In2 0.6105 0.3895 0.7500  9 Sc 2.87-3.15
Pd1 0.1193 0.8807 0.2500  5 Sc 2.62-2.88
Pd2 0.8807 0.1193 0.7500  5 Sc 2.62-2.88
O1 0.2554 0.7446 0.7500  5 Sc 2.18-2.26
O2 0.7446 0.2554 0.2500  5 Sc 2.18-2.26

---

The following is a PBE calculation of InSi2PdO after structural relaxation, from Alexandria.

Space-group type   P4/mmm, No. 123

Cell: 4.0445 4.0445 4.9923 Å, 90.00 90.00 90.00°
With the nearest neighbours (Å) after each atom.
Fractional positions:
In1 0.0000 0.0000 0.0000  2 O 2.50
Si1 0.0000 0.5000 0.5000  2 O 2.02
Si2 0.5000 0.0000 0.5000  2 O 2.02
Pd1 0.5000 0.5000 0.0000  4 In 2.86
O1 0.0000 0.0000 0.5000  4 Si 2.02

---

The following is a PBE calculation of InSnPdO2 after structural relaxation, from Alexandria.

Space-group type   P4/mmm, No. 123

Cell: 4.1618 4.1618 5.4059 Å, 90.00 90.00 90.00°
With the nearest neighbours (Å) after each atom.
Fractional positions:
In1 0.0000 0.0000 0.0000  4 O 2.08
Sn1 0.5000 0.5000 0.5000  4 Pd 2.94
Pd1 0.0000 0.0000 0.5000  2 In 2.70, 4 Sn 2.94
O1 0.0000 0.5000 0.0000  2 In 2.08
O2 0.5000 0.0000 0.0000  2 In 2.08

---

The following is a PBE calculation of Sr6In2PdO after structural relaxation, from Alexandria.

Space-group type   Pmmn, No. 59

Cell: 7.8375 11.0486 7.8374 Å, 90.00 90.00 90.00°
With the nearest neighbours (Å) after each atom.
Fractional positions:
Sr1 0.0132 0.2500 0.0125  1 O 2.63, 1 Pd 2.92
Sr2 0.0130 0.2500 0.4862  1 O 2.63, 1 Pd 2.92
Sr3 0.2500 0.0134 0.2496  1 O 2.61, 1 Pd 2.91
Sr4 0.2500 0.4866 0.2496  1 O 2.61, 1 Pd 2.91
Sr5 0.4868 0.2500 0.0125  1 O 2.63, 1 Pd 2.92
Sr6 0.4870 0.2500 0.4862  1 O 2.63, 1 Pd 2.92
Sr7 0.5130 0.7500 0.5138  1 O 2.63, 1 Pd 2.92
Sr8 0.5132 0.7500 0.9875  1 O 2.63, 1 Pd 2.92
Sr9 0.7500 0.5134 0.7504  1 O 2.61, 1 Pd 2.91
Sr10 0.7500 0.9866 0.7504  1 O 2.61, 1 Pd 2.91
Sr11 0.9870 0.7500 0.5138  1 O 2.63, 1 Pd 2.92
Sr12 0.9868 0.7500 0.9875  1 O 2.63, 1 Pd 2.92
In1 0.2500 0.9999 0.7500  12 Sr 3.91-3.93
In2 0.2500 0.5001 0.7500  12 Sr 3.91-3.93
In3 0.7500 0.0001 0.2500  12 Sr 3.91-3.93
In4 0.7500 0.4999 0.2500  12 Sr 3.91-3.93
Pd1 0.2500 0.7500 0.2506  6 Sr 2.91-2.92
Pd2 0.7500 0.2500 0.7494  6 Sr 2.91-2.92
O1 0.2500 0.2500 0.2495  6 Sr 2.61-2.63
O2 0.7500 0.7500 0.7505  6 Sr 2.61-2.63

---

no.,formation energy from raw total energies (eV per formula unit),electronic total energy (eV/atom)
1,1.91,-3.85
2,-8.12,-6.62
3,-0.10,-4.77
4,-1.43,-4.66
5,-7.71,-3.34